Computed, not measured: a relaxed structure of Tl6HgTe3 at the PBE level of DFT.

Cell and atoms, written as POSCAR:
```
Tl6HgTe3
1.0
6.289 -7.083 0.000
6.289 7.083 0.000
0.000 0.000 8.773
Tl Hg Te
12 2 6
direct
0.024 0.976 0.500
0.102 0.584 0.541
0.252 0.748 0.120
0.279 0.382 0.049
0.382 0.279 0.549
0.416 0.898 0.541
0.584 0.102 0.041
0.618 0.721 0.049
0.721 0.618 0.549
0.748 0.252 0.620
0.898 0.416 0.041
0.976 0.024 0.000
0.158 0.842 0.796
0.842 0.158 0.296
0.079 0.282 0.718
0.282 0.079 0.218
0.412 0.588 0.387
0.588 0.412 0.887
0.718 0.921 0.718
0.921 0.718 0.218
```

Magnetic moment   0.00 μB per cell
Raw formation energy   -2.07 eV/f.u.